Entry 1:
## ZrVMo3 (PBE)

Data for a relaxed ZrVMo3 crystal.

a b c (Å): 4.7801 4.7801 4.7801
angles (deg): 90.00 90.00 90.00
Each line ends with the local moment (μB).
Sites, in units of the cell vectors:
1 Mo 0.0000 0.0000 0.5000  0.07
2 Mo 0.0000 0.5000 0.0000  0.07
3 Zr 0.0000 0.0000 0.0000  0.00
4 Mo 0.5000 0.0000 0.0000  0.07
5 V 0.5000 0.5000 0.5000  2.46

Summary:
VASP energy, eV per atom: -7.90
ΔH_f (0 K), eV/atom: 2.135

Entry 2:
## BaAg2Br8 (PBE)

Data for a relaxed BaAg2Br8 crystal.

a b c (Å): 7.6763 7.6763 8.4956
angles (deg): 116.86 116.86 90.00
Sites, in units of the cell vectors:
1 Ag 0.2500 0.7500 0.5000
2 Br 0.1998 0.0399 0.7622
3 Br 0.9601 0.8002 0.2378
4 Br 0.8002 0.2777 0.2378
5 Ba 0.5000 0.5000 0.0000
6 Br 0.0399 0.5623 0.7622
7 Br 0.2777 0.4377 0.2378
8 Br 0.5623 0.7223 0.7622
9 Br 0.4377 0.9601 0.2378
10 Br 0.7223 0.1998 0.7622
11 Ag 0.7500 0.2500 0.5000

Summary:
VASP energy, eV per atom: -2.53
Uncorrected formation energy, eV per atom: -0.624

Entry 3:
## LaNd2Pd2 (PBE)

Data for a relaxed LaNd2Pd2 crystal.

a b c (Å): 4.8415 4.8415 7.1792
angles (deg): 112.51 112.51 89.86
Sites, in units of the cell vectors:
1 Pd 0.4183 0.4183 0.7833
2 La 0.0000 0.0000 0.0000
3 Pd 0.5817 0.5817 0.2167
4 Nd 0.2454 0.7546 0.5000
5 Nd 0.7546 0.2454 0.5000

Summary:
VASP energy, eV per atom: -5.43
ΔH_f (0 K), eV/atom: -0.459

Entry 4:
## SrLa2MgNi (PBE)

Data for a relaxed SrLa2MgNi crystal.

a b c (Å): 5.5372 5.5372 5.3301
angles (deg): 90.00 90.00 90.00
Sites, in units of the cell vectors:
1 Sr 0.5000 0.5000 0.5000
2 Ni 0.0000 0.0000 0.0000
3 La 0.5000 0.0000 0.0000
4 La 0.0000 0.5000 0.0000
5 Mg 0.0000 0.0000 0.5000

Summary:
VASP energy, eV per atom: -3.86
ΔH_f (0 K), eV/atom: -0.077

Entry 5:
## K2ZnRu (PBE)

Data for a relaxed K2ZnRu crystal.

a b c (Å): 11.6988 11.6988 11.6988
angles (deg): 15.23 15.23 15.23
Each line ends with the local moment (μB).
Sites, in units of the cell vectors:
1 K 0.9946 0.9946 0.9946  -0.01
2 K 0.5054 0.5054 0.5054  -0.01
3 Zn 0.7500 0.7500 0.7500  -0.01
4 Ru 0.2500 0.2500 0.2500  1.06

Summary:
VASP energy, eV per atom: -2.23
ΔH_f (0 K), eV/atom: 0.956

Entry 6:
## LiCa2Br (PBE)

Data for a relaxed LiCa2Br crystal.

a b c (Å): 7.1740 7.1740 7.1740
angles (deg): 143.70 143.70 52.27
Sites, in units of the cell vectors:
1 Ca 0.2500 0.7500 0.5000
2 Ca 0.0000 0.0000 0.0000
3 Li 0.5000 0.5000 0.0000
4 Br 0.7500 0.2500 0.5000

Summary:
VASP energy, eV per atom: -2.36
Uncorrected formation energy, eV per atom: -0.467

Entry 7:
## Zn3CrPd (PBE)

Data for a relaxed Zn3CrPd crystal.

a b c (Å): 4.7542 4.7542 4.7542
angles (deg): 90.00 90.00 90.00
Each line ends with the local moment (μB).
Sites, in units of the cell vectors:
1 Pd 0.0000 0.0000 0.0000  0.04
2 Cr 0.5000 0.5000 0.5000  4.14
3 Zn 0.0000 0.5000 0.0000  -0.03
4 Zn 0.5000 0.0000 0.0000  -0.01
5 Zn 0.0000 0.0000 0.5000  -0.02

Summary:
VASP energy, eV per atom: -3.27
ΔH_f (0 K), eV/atom: 0.455

Entry 8:
## Er2PuTl9 (PBE)

Data for a relaxed Er2PuTl9 crystal.

a b c (Å): 4.7597 4.7597 14.3061
angles (deg): 90.00 90.00 90.00
Each line ends with the local moment (μB).
Sites, in units of the cell vectors:
1 Er 0.0000 0.0000 0.6638  -0.02
2 Tl 0.5000 0.5000 0.3328  -0.01
3 Tl 0.5000 0.5000 0.0000  0.02
4 Pu 0.0000 0.0000 0.0000  5.46
5 Tl 0.5000 0.5000 0.6672  -0.01
6 Er 0.0000 0.0000 0.3362  -0.02
7 Tl 0.0000 0.5000 0.1686  0.00
8 Tl 0.0000 0.5000 0.8314  0.00
9 Tl 0.5000 0.0000 0.8314  0.00
10 Tl 0.0000 0.5000 0.5000  -0.01
11 Tl 0.5000 0.0000 0.5000  -0.01
12 Tl 0.5000 0.0000 0.1686  0.00

Summary:
VASP energy, eV per atom: -3.87
ΔH_f (0 K), eV/atom: -0.145

Entry 9:
## RbPdAuS2 (PBE)

Data for a relaxed RbPdAuS2 crystal.

a b c (Å): 4.9068 6.9868 7.3871
angles (deg): 98.70 90.00 90.00
Sites, in units of the cell vectors:
1 S 0.6149 0.7892 0.9696
2 Pd 0.5000 0.0000 0.2500
3 S 0.3851 0.7892 0.4696
4 Rb 0.1336 0.5000 0.7500
5 S 0.6149 0.2108 0.5304
6 S 0.3851 0.2108 0.0304
7 Au 0.0000 0.0000 0.0000
8 Pd 0.5000 0.0000 0.7500
9 Rb 0.8664 0.5000 0.2500
10 Au 0.0000 0.0000 0.5000

Summary:
VASP energy, eV per atom: -4.02
Uncorrected formation energy, eV per atom: -0.485

Entry 10:
## LaTi (PBE)

Data for a relaxed LaTi crystal.

a b c (Å): 10.6343 10.6343 3.1452
angles (deg): 90.00 90.00 120.00
Sites, in units of the cell vectors:
1 Ti 0.1402 0.5411 0.7500
2 La 0.6955 0.9332 0.7500
3 Ti 0.5991 0.1402 0.2500
4 La 0.7623 0.6955 0.2500
5 La 0.9332 0.2377 0.2500
6 Ti 0.8598 0.4589 0.2500
7 La 0.3045 0.0668 0.2500
8 Ti 0.4009 0.8598 0.7500
9 Ti 0.5411 0.4009 0.2500
10 Ti 0.4589 0.5991 0.7500
11 La 0.2377 0.3045 0.7500
12 La 0.0668 0.7623 0.7500

Summary:
VASP energy, eV per atom: -5.86
ΔH_f (0 K), eV/atom: 0.548